(1)
VASP calculation (PBE-GGA) on a relaxed Zr2Co2Ag crystal.

Geometry as CIF:
```
data_Zr2Co2Ag
_chemical_formula_sum 'Zr2 Co2 Ag1'
_cell_length_a 3.542
_cell_length_b 3.542
_cell_length_c 7.635
_cell_angle_alpha 76.59
_cell_angle_beta 76.59
_cell_angle_gamma 90.00
_space_group_name_H-M_alt 'P 1'
_space_group_IT_number 1
_space_group_name_Hall 'P 1'
loop_
_atom_site_label
_atom_site_type_symbol
_atom_site_fract_x
_atom_site_fract_y
_atom_site_fract_z
Co1 Co 0.750 0.250 0.500
Co2 Co 0.250 0.750 0.500
Ag1 Ag 0.000 0.000 0.000
Zr1 Zr 0.623 0.623 0.754
Zr2 Zr 0.377 0.377 0.246
```

Output
- Calculated volume: 90.48 Å³ per cell
- Symmetry: I4/mmm, No. 139
- Energy above the most stable polymorph in this dataset: 29.5 kJ/mol of atoms
- M_tot: 0.0 Bohr magnetons per cell
- Energy of formation from the pure elements: 7 kJ/mol of atoms


(2)
VASP calculation (PBE-GGA) on a relaxed PmThTlBi crystal.

Geometry as CIF:
```
data_PmThTlBi
_chemical_formula_sum 'Pm1 Th1 Tl1 Bi1'
_cell_length_a 5.556
_cell_length_b 5.556
_cell_length_c 5.556
_cell_angle_alpha 60.00
_cell_angle_beta 60.00
_cell_angle_gamma 60.00
_space_group_name_H-M_alt 'P 1'
_space_group_IT_number 1
_space_group_name_Hall 'P 1'
loop_
_atom_site_label
_atom_site_type_symbol
_atom_site_fract_x
_atom_site_fract_y
_atom_site_fract_z
Pm1 Pm 0.000 0.000 0.000
Tl1 Tl 0.750 0.750 0.750
Bi1 Bi 0.250 0.250 0.250
Th1 Th 0.500 0.500 0.500
```

Output
- Calculated volume: 121.24 Å³ per cell
- Symmetry: F-43m, No. 216
- M_tot: 0.0 Bohr magnetons per cell
- Energy of formation from the pure elements: -32 kJ/mol of atoms


(3)
VASP calculation (PBE-GGA) on a relaxed Ba3PrSn2O9 crystal.

Geometry as CIF:
```
data_Ba3PrSn2O9
_chemical_formula_sum 'Ba3 Pr1 Sn2 O9'
_cell_length_a 6.115
_cell_length_b 6.115
_cell_length_c 7.598
_cell_angle_alpha 90.00
_cell_angle_beta 90.00
_cell_angle_gamma 120.00
_space_group_name_H-M_alt 'P 1'
_space_group_IT_number 1
_space_group_name_Hall 'P 1'
loop_
_atom_site_label
_atom_site_type_symbol
_atom_site_fract_x
_atom_site_fract_y
_atom_site_fract_z
O1 O 0.500 0.000 0.000
O2 O 0.000 0.500 0.000
O3 O 0.826 0.651 0.687
O4 O 0.826 0.174 0.687
O5 O 0.651 0.826 0.313
O6 O 0.174 0.826 0.313
O7 O 0.500 0.500 0.000
O8 O 0.174 0.349 0.313
O9 O 0.349 0.174 0.687
Sn1 Sn 0.333 0.667 0.160
Sn2 Sn 0.667 0.333 0.840
Ba1 Ba 0.667 0.333 0.319
Ba2 Ba 0.000 0.000 0.000
Ba3 Ba 0.333 0.667 0.681
Pr1 Pr 0.000 0.000 0.500
```

Output
- Calculated volume: 246.03 Å³ per cell
- Symmetry: P-3m1, No. 164
- Formation energy without anion corrections: -2.31 eV/atom
- M_tot: 0.7 Bohr magnetons per cell